Density functional theory data (PBE) for a relaxed structure of LiCuNi2.

Computed properties:
DFT total energy: -4.097 eV/atom
E_form: 0.30 eV per atom

```
data_LiCuNi2
_chemical_formula_sum 'Li4 Cu4 Ni8'
_cell_length_a 3.379
_cell_length_b 3.379
_cell_length_c 17.103
_cell_angle_alpha 90.00
_cell_angle_beta 90.00
_cell_angle_gamma 90.00
_symmetry_space_group_name_H-M 'I -4 2 d'
_symmetry_Int_Tables_number 122
_symmetry_space_group_name_Hall 'I -4 2bw'
loop_
_atom_site_label
_atom_site_fract_x
_atom_site_fract_y
_atom_site_fract_z
Li1 0.000 0.000 0.000
Cu1 0.000 0.000 0.500
Ni1 0.250 0.250 0.125
```

Density functional theory data (PBE) for a relaxed structure of Sc2GaRe.

Computed properties:
DFT total energy: -7.333 eV/atom
E_form: -0.30 eV per atom

```
data_Sc2GaRe
_chemical_formula_sum 'Sc2 Ga1 Re1'
_cell_length_a 4.526
_cell_length_b 4.526
_cell_length_c 3.486
_cell_angle_alpha 90.00
_cell_angle_beta 90.00
_cell_angle_gamma 90.00
_symmetry_space_group_name_H-M 'P 4/m m m'
_symmetry_Int_Tables_number 123
_symmetry_space_group_name_Hall '-P 4 2'
loop_
_atom_site_label
_atom_site_fract_x
_atom_site_fract_y
_atom_site_fract_z
Sc1 0.000 0.500 0.000
Ga1 0.000 0.000 0.500
Re1 0.500 0.500 0.500
```

Density functional theory data (PBE) for a relaxed structure of RbInTe3.

Computed properties:
DFT total energy: -1.955 eV/atom
ΔE to the lowest computed polymorph: 0.963 eV/atom

```
data_RbInTe3
_chemical_formula_sum 'Rb1 In1 Te3'
_cell_length_a 6.315
_cell_length_b 6.315
_cell_length_c 6.315
_cell_angle_alpha 90.00
_cell_angle_beta 90.00
_cell_angle_gamma 90.00
_symmetry_space_group_name_H-M 'P m -3 m'
_symmetry_Int_Tables_number 221
_symmetry_space_group_name_Hall '-P 4 2 3'
loop_
_atom_site_label
_atom_site_fract_x
_atom_site_fract_y
_atom_site_fract_z
Rb1 0.000 0.000 0.000
In1 0.500 0.500 0.500
Te1 0.000 0.000 0.500
```

Density functional theory data (PBE) for a relaxed structure of BeGe3W.

Computed properties:
DFT total energy: -4.935 eV/atom
ΔE to the lowest computed polymorph: 0.280 eV/atom
E_form: 1.17 eV per atom

```
data_BeGe3W
_chemical_formula_sum 'Be1 Ge3 W1'
_cell_length_a 4.373
_cell_length_b 4.373
_cell_length_c 4.373
_cell_angle_alpha 90.00
_cell_angle_beta 90.00
_cell_angle_gamma 90.00
_symmetry_space_group_name_H-M 'P m -3 m'
_symmetry_Int_Tables_number 221
_symmetry_space_group_name_Hall '-P 4 2 3'
loop_
_atom_site_label
_atom_site_fract_x
_atom_site_fract_y
_atom_site_fract_z
Be1 0.000 0.000 0.000
Ge1 0.000 0.000 0.500
W1 0.500 0.500 0.500
```

Density functional theory data (PBE) for a relaxed structure of NaLa2ZnN.

Computed properties:
DFT total energy: -4.593 eV/atom

```
data_NaLa2ZnN
_chemical_formula_sum 'Na1 La2 Zn1 N1'
_cell_length_a 5.020
_cell_length_b 5.020
_cell_length_c 4.851
_cell_angle_alpha 90.00
_cell_angle_beta 90.00
_cell_angle_gamma 90.00
_symmetry_space_group_name_H-M 'P 4/m m m'
_symmetry_Int_Tables_number 123
_symmetry_space_group_name_Hall '-P 4 2'
loop_
_atom_site_label
_atom_site_fract_x
_atom_site_fract_y
_atom_site_fract_z
Na1 0.000 0.000 0.000
La1 0.000 0.500 0.500
Zn1 0.500 0.500 0.000
N1 0.000 0.000 0.500
```